Entry one
The following is a DFT calculation (PBE) of a relaxed structure of Pm2CdSn4.

Lattice parameters (Å, degrees): 4.529 4.529 9.647 90.00 90.00 90.00
Element x y z (fractional)
Pm (0.000, 0.500, 0.239)
Pm (0.500, 0.000, 0.761)
Cd (0.500, 0.500, 0.000)
Sn (0.000, 0.000, 0.500)
Sn (0.000, 0.500, 0.807)
Sn (0.500, 0.000, 0.193)
Sn (0.500, 0.500, 0.500)

---

Entry two
The following is a DFT calculation (PBE) of a relaxed structure of Pm2CdSn4.

Lattice parameters (Å, degrees): 9.243 9.260 6.546 90.00 134.69 90.00
Element x y z (fractional)
Pm (0.250, 0.250, 0.000)
Pm (0.250, 0.750, 0.000)
Pm (0.750, 0.250, 0.000)
Pm (0.750, 0.750, 0.000)
Cd (0.000, 0.000, 0.000)
Cd (0.500, 0.500, 0.000)
Sn (0.000, 0.000, 0.500)
Sn (0.000, 0.500, 0.500)
Sn (0.250, 0.250, 0.500)
Sn (0.250, 0.750, 0.500)
Sn (0.500, 0.000, 0.500)
Sn (0.500, 0.500, 0.500)
Sn (0.750, 0.250, 0.500)
Sn (0.750, 0.750, 0.500)

---

Q: Which of them is the most stable? A: entry two.

---

Entry one
The following is a DFT calculation (PBE) of a relaxed structure of SrPm2Cd.

Lattice parameters (Å, degrees): 3.885 3.885 9.488 90.00 90.00 90.00
Element x y z (fractional)
Sr (0.000, 0.000, 0.000)
Pm (0.500, 0.500, 0.309)
Pm (0.500, 0.500, 0.691)
Cd (0.000, 0.000, 0.500)

---

Entry two
The following is a DFT calculation (PBE) of a relaxed structure of SrPm2Cd.

Lattice parameters (Å, degrees): 3.697 3.697 36.954 90.00 90.00 120.00
Element x y z (fractional)
Sr (0.000, 0.000, 0.000)
Sr (0.333, 0.667, 0.667)
Sr (0.667, 0.333, 0.333)
Pm (0.000, 0.000, 0.099)
Pm (0.000, 0.000, 0.901)
Pm (0.333, 0.667, 0.567)
Pm (0.333, 0.667, 0.766)
Pm (0.667, 0.333, 0.234)
Pm (0.667, 0.333, 0.433)
Cd (0.000, 0.000, 0.500)
Cd (0.333, 0.667, 0.167)
Cd (0.667, 0.333, 0.833)

---

Entry three
The following is a DFT calculation (PBE) of a relaxed structure of SrPm2Cd.

Lattice parameters (Å, degrees): 5.069 5.069 5.166 90.00 90.00 90.00
Element x y z (fractional)
Sr (0.000, 0.000, 0.000)
Pm (0.000, 0.500, 0.500)
Pm (0.500, 0.000, 0.500)
Cd (0.500, 0.500, 0.000)

---

Q: Which of them is the most stable? A: entry one.

---

Entry one
The following is a DFT calculation (PBE) of a relaxed structure of Sr2PmCd.

Lattice parameters (Å, degrees): 3.840 3.840 37.734 90.00 90.00 120.00
Element x y z (fractional)
Sr (0.000, 0.000, 0.097)
Sr (0.000, 0.000, 0.903)
Sr (0.333, 0.667, 0.570)
Sr (0.333, 0.667, 0.764)
Sr (0.667, 0.333, 0.236)
Sr (0.667, 0.333, 0.430)
Pm (0.000, 0.000, 0.000)
Pm (0.333, 0.667, 0.667)
Pm (0.667, 0.333, 0.333)
Cd (0.000, 0.000, 0.500)
Cd (0.333, 0.667, 0.167)
Cd (0.667, 0.333, 0.833)

---

Entry two
The following is a DFT calculation (PBE) of a relaxed structure of Sr2PmCd.

Lattice parameters (Å, degrees): 3.984 3.984 34.600 90.00 90.00 120.00
Element x y z (fractional)
Sr (0.000, 0.000, 0.000)
Sr (0.000, 0.000, 0.183)
Sr (0.333, 0.667, 0.667)
Sr (0.333, 0.667, 0.850)
Sr (0.667, 0.333, 0.333)
Sr (0.667, 0.333, 0.517)
Pm (0.000, 0.000, 0.426)
Pm (0.333, 0.667, 0.092)
Pm (0.667, 0.333, 0.759)
Cd (0.000, 0.000, 0.591)
Cd (0.333, 0.667, 0.258)
Cd (0.667, 0.333, 0.925)

---

Q: Which of them is the most stable? A: entry two.

---

Entry one
The following is a DFT calculation (PBE) of a relaxed structure of SrPmTlCd.

Lattice parameters (Å, degrees): 7.916 7.916 7.916 90.00 90.00 90.00
Element x y z (fractional)
Sr (0.000, 0.000, 0.000)
Sr (0.000, 0.500, 0.500)
Sr (0.500, 0.000, 0.500)
Sr (0.500, 0.500, 0.000)
Pm (0.000, 0.000, 0.500)
Pm (0.000, 0.500, 0.000)
Pm (0.500, 0.000, 0.000)
Pm (0.500, 0.500, 0.500)
Tl (0.250, 0.250, 0.750)
Tl (0.250, 0.750, 0.250)
Tl (0.750, 0.250, 0.250)
Tl (0.750, 0.750, 0.750)
Cd (0.250, 0.250, 0.250)
Cd (0.250, 0.750, 0.750)
Cd (0.750, 0.250, 0.750)
Cd (0.750, 0.750, 0.250)

---

Entry two
The following is a DFT calculation (PBE) of a relaxed structure of SrPmTlCd.

Lattice parameters (Å, degrees): 3.924 3.924 8.088 90.00 90.00 90.00
Element x y z (fractional)
Sr (0.000, 0.000, 0.000)
Pm (0.000, 0.000, 0.508)
Tl (0.500, 0.500, 0.273)
Cd (0.500, 0.500, 0.732)

---

Q: Which of them is the most stable? A: entry two.

---

Entry one
The following is a DFT calculation (PBE) of a relaxed structure of SrPmZnCd.

Lattice parameters (Å, degrees): 3.845 3.845 7.774 90.00 90.00 90.00
Element x y z (fractional)
Sr (0.000, 0.000, 0.000)
Pm (0.000, 0.000, 0.473)
Zn (0.500, 0.500, 0.271)
Cd (0.500, 0.500, 0.714)

---

Entry two
The following is a DFT calculation (PBE) of a relaxed structure of SrPmZnCd.

Lattice parameters (Å, degrees): 7.701 7.701 7.701 90.00 90.00 90.00
Element x y z (fractional)
Sr (0.000, 0.000, 0.000)
Sr (0.000, 0.500, 0.500)
Sr (0.500, 0.000, 0.500)
Sr (0.500, 0.500, 0.000)
Pm (0.000, 0.000, 0.500)
Pm (0.000, 0.500, 0.000)
Pm (0.500, 0.000, 0.000)
Pm (0.500, 0.500, 0.500)
Zn (0.250, 0.250, 0.250)
Zn (0.250, 0.750, 0.750)
Zn (0.750, 0.250, 0.750)
Zn (0.750, 0.750, 0.250)
Cd (0.250, 0.250, 0.750)
Cd (0.250, 0.750, 0.250)
Cd (0.750, 0.250, 0.250)
Cd (0.750, 0.750, 0.750)

---

Q: Which of them is the most stable? A: entry one.

---

Entry one
The following is a DFT calculation (PBE) of a relaxed structure of TbPm3Cd.

Lattice parameters (Å, degrees): 6.812 6.812 12.901 93.33 93.33 31.87
Element x y z (fractional)
Tb (0.227, 0.227, 0.252)
Tb (0.773, 0.773, 0.748)
Pm (0.040, 0.040, 0.690)
Pm (0.146, 0.146, 0.945)
Pm (0.366, 0.366, 0.526)
Pm (0.634, 0.634, 0.474)
Pm (0.854, 0.854, 0.055)
Pm (0.960, 0.960, 0.310)
Cd (0.439, 0.439, 0.872)
Cd (0.561, 0.561, 0.128)

---

Entry two
The following is a DFT calculation (PBE) of a relaxed structure of TbPm3Cd.

Lattice parameters (Å, degrees): 12.747 12.747 7.064 90.00 90.00 163.80
Element x y z (fractional)
Tb (0.001, 0.999, 0.750)
Tb (0.999, 0.001, 0.250)
Pm (0.210, 0.790, 0.250)
Pm (0.398, 0.602, 0.510)
Pm (0.398, 0.602, 0.990)
Pm (0.602, 0.398, 0.010)
Pm (0.602, 0.398, 0.490)
Pm (0.790, 0.210, 0.750)
Cd (0.183, 0.817, 0.750)
Cd (0.817, 0.183, 0.250)

---

Q: Which of them is the most stable? A: entry one.